TiInSb2: relaxed, GGA-PBE.

ΔE_f (raw)   80 meV/atom

a = 6.5026 Å, b = 6.5026 Å, c = 7.9339 Å
α = 65.81°, β = 65.81°, γ = 90.00°
Fractional coordinates of all 8 atoms:
Sb (0.6001, 0.1250, 0.2500)
Sb (0.1499, 0.6250, 0.2500)
Sb (0.3750, 0.3999, 0.7500)
Sb (0.8750, 0.8501, 0.7500)
Ti (0.5000, 0.5000, 0.0000)
Ti (0.2500, 0.7500, 0.5000)
In (0.0000, 0.0000, 0.0000)
In (0.7500, 0.2500, 0.5000)


CrSbBr2: relaxed, GGA-PBE.

ΔE_f (raw)   -120 meV/atom
Distance to the lowest polymorph of the same formula   0.057 eV/atom

a = 7.4073 Å, b = 7.4073 Å, c = 5.2807 Å
α = 79.27°, β = 79.27°, γ = 26.79°
Fractional coordinates of all 4 atoms:
Br (0.1105, 0.1105, 0.9363)
Br (0.3895, 0.3895, 0.5637)
Cr (0.7500, 0.7500, 0.7500)
Sb (0.2500, 0.2500, 0.2500)


Ti3NiS6: relaxed, GGA-PBE.

ΔE_f (raw)   -1052 meV/atom
Distance to the lowest polymorph of the same formula   0.146 eV/atom

a = 5.8420 Å, b = 7.6205 Å, c = 7.6205 Å
α = 100.87°, β = 90.00°, γ = 90.00°
Fractional coordinates of all 20 atoms:
Ti (0.4859, 0.9286, 0.7249)
Ti (0.9859, 0.7249, 0.9286)
Ti (0.3682, 0.3966, 0.6034)
Ti (0.8682, 0.6034, 0.3966)
Ti (0.9859, 0.0714, 0.2751)
Ti (0.4859, 0.2751, 0.0714)
Ni (0.0364, 0.2160, 0.7840)
Ni (0.5364, 0.7840, 0.2160)
S (0.1751, 0.6984, 0.6299)
S (0.6751, 0.6299, 0.6984)
S (0.2234, 0.4556, 0.9041)
S (0.7234, 0.9041, 0.4556)
S (0.1570, 0.0366, 0.9634)
S (0.6548, 0.2270, 0.7730)
S (0.1548, 0.7730, 0.2270)
S (0.6570, 0.9634, 0.0366)
S (0.2234, 0.0959, 0.5444)
S (0.7234, 0.5444, 0.0959)
S (0.1751, 0.3701, 0.3016)
S (0.6751, 0.3016, 0.3701)


> Which of these has the highest ΔE_f (raw)?

TiInSb2